# ReTc2Cl (PBE-GGA, optimized geometry)
data_ReTc2Cl
_space_group_name_H-M_alt 'I 4/m m m'
_space_group_IT_number 139
_space_group_name_Hall '-I 4 2'
_cell_length_a 4.8412
_cell_length_b 4.8412
_cell_length_c 5.2059
_cell_angle_alpha 90.00
_cell_angle_beta 90.00
_cell_angle_gamma 90.00
loop_
_atom_site_label
_atom_site_type_symbol
_atom_site_fract_x
_atom_site_fract_y
_atom_site_fract_z
_atom_site_occupancy
Re1 Re 0.0000 0.0000 0.0000 1
Tc1 Tc 0.0000 0.5000 0.2500 1
Cl1 Cl 0.0000 0.0000 0.5000 1
# - VASP energy (eV/atom) = -7.72
# - energy relative to the lowest polymorph listed for this composition (eV/atom) = 0.787
# - raw formation energy (meV/atom) = 1034.3

# ReTc2Cl (PBE-GGA, optimized geometry)
data_ReTc2Cl
_space_group_name_H-M_alt 'C m m m'
_space_group_IT_number 65
_space_group_name_Hall '-C 2 2'
_cell_length_a 6.4266
_cell_length_b 6.4357
_cell_length_c 2.8806
_cell_angle_alpha 90.00
_cell_angle_beta 90.00
_cell_angle_gamma 90.00
loop_
_atom_site_label
_atom_site_type_symbol
_atom_site_fract_x
_atom_site_fract_y
_atom_site_fract_z
_atom_site_occupancy
Re1 Re 0.0000 0.0000 0.0000 1
Tc1 Tc 0.2500 0.2500 0.5000 1
Cl1 Cl 0.0000 0.5000 0.0000 1
# - VASP energy (eV/atom) = -7.95
# - energy relative to the lowest polymorph listed for this composition (eV/atom) = 0.562
# - raw formation energy (meV/atom) = 809.3